A geometry-optimized AcTb2Pd structure. Source: Alexandria, functional PBE.

## Properties
* spin magnetization: 0.00 μB/f.u.
* calculated total energy: -4.666 eV per atom
* energy above the most stable polymorph in this dataset: 404.2 meV/atom
* D(E_F): 4.9 states/eV/f.u.

Structure (CIF):
```
data_AcTb2Pd
_chemical_formula_sum 'Ac1 Tb2 Pd1'
_cell_length_a 5.4231
_cell_length_b 5.4231
_cell_length_c 3.8823
_cell_angle_alpha 90.00
_cell_angle_beta 90.00
_cell_angle_gamma 90.00
_symmetry_space_group_name_H-M 'P 4/m m m'
_symmetry_Int_Tables_number 123
_symmetry_space_group_name_Hall '-P 4 2'
loop_
_atom_site_label
_atom_site_type_symbol
_atom_site_fract_x
_atom_site_fract_y
_atom_site_fract_z
Ac1 Ac 0.0000 0.0000 0.0000
Tb1 Tb 0.0000 0.5000 0.5000
Pd1 Pd 0.5000 0.5000 0.0000
```

---

A geometry-optimized AcTb2Pd structure. Source: Alexandria, functional PBE.

## Properties
* spin magnetization: 0.00 μB/f.u.
* calculated total energy: -4.947 eV per atom
* energy above the most stable polymorph in this dataset: 122.8 meV/atom
* D(E_F): 5.8 states/eV/f.u.

Structure (CIF):
```
data_AcTb2Pd
_chemical_formula_sum 'Ac3 Tb6 Pd3'
_cell_length_a 3.9929
_cell_length_b 3.9929
_cell_length_c 28.6285
_cell_angle_alpha 90.00
_cell_angle_beta 90.00
_cell_angle_gamma 120.00
_symmetry_space_group_name_H-M 'R -3 m'
_symmetry_Int_Tables_number 166
_symmetry_space_group_name_Hall '-R 3 2"'
loop_
_atom_site_label
_atom_site_type_symbol
_atom_site_fract_x
_atom_site_fract_y
_atom_site_fract_z
Ac1 Ac 0.0000 0.0000 0.0000
Tb1 Tb 0.0000 0.0000 0.2239
Pd1 Pd 0.0000 0.0000 0.5000
```

---

A geometry-optimized AcTb2Pd structure. Source: Alexandria, functional PBE.

## Properties
* spin magnetization: 0.00 μB/f.u.
* calculated total energy: -5.023 eV per atom
* energy above the most stable polymorph in this dataset: 46.5 meV/atom
* D(E_F): 4.1 states/eV/f.u.

Structure (CIF):
```
data_AcTb2Pd
_chemical_formula_sum 'Ac1 Tb2 Pd1'
_cell_length_a 3.6497
_cell_length_b 3.6497
_cell_length_c 8.9616
_cell_angle_alpha 90.00
_cell_angle_beta 90.00
_cell_angle_gamma 90.00
_symmetry_space_group_name_H-M 'P 4/m m m'
_symmetry_Int_Tables_number 123
_symmetry_space_group_name_Hall '-P 4 2'
loop_
_atom_site_label
_atom_site_type_symbol
_atom_site_fract_x
_atom_site_fract_y
_atom_site_fract_z
Ac1 Ac 0.0000 0.0000 0.0000
Tb1 Tb 0.5000 0.5000 0.3165
Pd1 Pd 0.0000 0.0000 0.5000
```

---

A geometry-optimized Ac2TbPd structure. Source: Alexandria, functional PBE.

## Properties
* spin magnetization: 0.00 μB/f.u.
* calculated total energy: -4.801 eV per atom
* energy above the most stable polymorph in this dataset: 0.0 meV/atom
* D(E_F): 5.5 states/eV/f.u.

Structure (CIF):
```
data_Ac2TbPd
_chemical_formula_sum 'Ac2 Tb1 Pd1'
_cell_length_a 3.8897
_cell_length_b 3.8897
_cell_length_c 8.7988
_cell_angle_alpha 90.00
_cell_angle_beta 90.00
_cell_angle_gamma 90.00
_symmetry_space_group_name_H-M 'P 4/m m m'
_symmetry_Int_Tables_number 123
_symmetry_space_group_name_Hall '-P 4 2'
loop_
_atom_site_label
_atom_site_type_symbol
_atom_site_fract_x
_atom_site_fract_y
_atom_site_fract_z
Ac1 Ac 0.0000 0.0000 0.2059
Tb1 Tb 0.5000 0.5000 0.5000
Pd1 Pd 0.5000 0.5000 0.0000
```

---

A geometry-optimized AcTbPd3 structure. Source: Alexandria, functional PBE.

## Properties
* spin magnetization: 0.00 μB/f.u.
* calculated total energy: -5.705 eV per atom
* D(E_F): 2.7 states/eV/f.u.

Structure (CIF):
```
data_AcTbPd3
_chemical_formula_sum 'Ac4 Tb4 Pd12'
_cell_length_a 3.9724
_cell_length_b 27.1052
_cell_length_c 4.4392
_cell_angle_alpha 90.00
_cell_angle_beta 90.00
_cell_angle_gamma 90.00
_symmetry_space_group_name_H-M 'C m c m'
_symmetry_Int_Tables_number 63
_symmetry_space_group_name_Hall '-C 2c 2'
loop_
_atom_site_label
_atom_site_type_symbol
_atom_site_fract_x
_atom_site_fract_y
_atom_site_fract_z
Ac1 Ac 0.0000 0.0745 0.2500
Tb1 Tb 0.0000 0.2063 0.7500
Pd1 Pd 0.0000 0.3115 0.7500
Pd2 Pd 0.0000 0.3721 0.2500
Pd3 Pd 0.0000 0.4715 0.2500
```

---

A geometry-optimized AcTbPd2 structure. Source: Alexandria, functional PBE.

## Properties
* spin magnetization: 0.00 μB/f.u.
* calculated total energy: -5.546 eV per atom
* energy above the most stable polymorph in this dataset: 58.8 meV/atom
* D(E_F): 3.8 states/eV/f.u.

Structure (CIF):
```
data_AcTbPd2
_chemical_formula_sum 'Ac1 Tb1 Pd2'
_cell_length_a 3.6708
_cell_length_b 3.6708
_cell_length_c 7.2970
_cell_angle_alpha 90.00
_cell_angle_beta 90.00
_cell_angle_gamma 90.00
_symmetry_space_group_name_H-M 'P 4/m m m'
_symmetry_Int_Tables_number 123
_symmetry_space_group_name_Hall '-P 4 2'
loop_
_atom_site_label
_atom_site_type_symbol
_atom_site_fract_x
_atom_site_fract_y
_atom_site_fract_z
Ac1 Ac 0.0000 0.0000 0.0000
Tb1 Tb 0.0000 0.0000 0.5000
Pd1 Pd 0.5000 0.5000 0.2839
```

---

A geometry-optimized AcTbPd2 structure. Source: Alexandria, functional PBE.

## Properties
* spin magnetization: 0.00 μB/f.u.
* calculated total energy: -5.534 eV per atom
* energy above the most stable polymorph in this dataset: 71.2 meV/atom
* D(E_F): 2.3 states/eV/f.u.

Structure (CIF):
```
data_AcTbPd2
_chemical_formula_sum 'Ac3 Tb3 Pd6'
_cell_length_a 4.3000
_cell_length_b 4.3000
_cell_length_c 20.3576
_cell_angle_alpha 90.00
_cell_angle_beta 90.00
_cell_angle_gamma 120.00
_symmetry_space_group_name_H-M 'R -3 m'
_symmetry_Int_Tables_number 166
_symmetry_space_group_name_Hall '-R 3 2"'
loop_
_atom_site_label
_atom_site_type_symbol
_atom_site_fract_x
_atom_site_fract_y
_atom_site_fract_z
Ac1 Ac 0.0000 0.0000 0.0000
Tb1 Tb 0.0000 0.0000 0.5000
Pd1 Pd 0.0000 0.0000 0.2414
```

---

A geometry-optimized AcTb2Pd structure. Source: Alexandria, functional PBE.

## Properties
* spin magnetization: 0.00 μB/f.u.
* calculated total energy: -4.965 eV per atom
* energy above the most stable polymorph in this dataset: 104.9 meV/atom
* D(E_F): 5.2 states/eV/f.u.

Structure (CIF):
```
data_AcTb2Pd
_chemical_formula_sum 'Ac3 Tb6 Pd3'
_cell_length_a 4.0508
_cell_length_b 4.0508
_cell_length_c 27.9576
_cell_angle_alpha 90.00
_cell_angle_beta 90.00
_cell_angle_gamma 120.00
_symmetry_space_group_name_H-M 'R 3 m'
_symmetry_Int_Tables_number 160
_symmetry_space_group_name_Hall 'R 3 -2"'
loop_
_atom_site_label
_atom_site_type_symbol
_atom_site_fract_x
_atom_site_fract_y
_atom_site_fract_z
Ac1 Ac 0.0000 0.0000 0.0000
Tb1 Tb 0.0000 0.0000 0.5547
Tb2 Tb 0.0000 0.0000 0.7742
Pd1 Pd 0.0000 0.0000 0.1638
```

---

DFT formation energy, respectively: -0.025, -0.307, -0.383, -0.291, -0.842, -0.765, -0.753, -0.324 eV/atom.